No. 1
DFT (GGA-PBE) results for crystalline ZnInBi3 at its relaxed geometry.

The total energy is -2.7331 eV/atom.

```
ZnInBi3
1.0
5.493 0.000 0.000
0.000 5.493 0.000
0.000 0.000 5.493
Zn In Bi
1 1 3
Direct
0.000 0.000 0.000 Zn
0.500 0.500 0.500 In
0.000 0.000 0.500 Bi
0.000 0.500 0.000 Bi
0.500 0.000 0.000 Bi
```

***

No. 2
DFT (GGA-PBE) results for crystalline Zn2In2Bi at its relaxed geometry.

The total energy is -2.2318 eV/atom.

```
Zn2In2Bi
1.0
8.438 0.000 0.000
0.000 8.438 0.000
0.000 0.000 3.375
Zn In Bi
4 4 2
Direct
0.167 0.333 0.000 Zn
0.333 0.833 0.000 Zn
0.667 0.167 0.000 Zn
0.833 0.667 0.000 Zn
0.134 0.634 0.500 In
0.366 0.134 0.500 In
0.634 0.866 0.500 In
0.866 0.366 0.500 In
0.000 0.000 0.500 Bi
0.500 0.500 0.500 Bi
```

***

Number 1: total moment 0.00 μB/f.u., ΔH_f (0 K) 0.40 eV per atom. Number 2: total moment 0.00 μB/f.u., ΔH_f (0 K) 0.15 eV per atom.